Here is PIrC3 after structural relaxation from the Alexandria database. Energies are from PBEsol.

Values from the calculation:
Formation enthalpy at 0 K ... 2.082 eV/atom
DOS at the Fermi energy ... 2.49 states/eV/f.u.
Electronic total energy ... -6.8267 eV/atom

```
PIrC3
1.0
3.599 0.000 0.000
0.000 3.599 0.000
0.000 0.000 3.599
P Ir C
1 1 3
Cartesian
0.000 0.000 0.000
1.800 1.800 1.800
0.000 0.000 1.800
0.000 1.800 0.000
1.800 0.000 0.000
```

***

Here is PIrC2Se after structural relaxation from the Alexandria database. Energies are from PBEsol.

Values from the calculation:
DOS at the Fermi energy ... 2.16 states/eV/f.u.
Electronic total energy ... -6.4517 eV/atom
Raw formation energy ... 1.299 eV/atom

```
PIrC2Se
1.0
3.821 0.000 0.000
0.000 3.821 0.000
0.000 0.000 5.265
P Ir C Se
1 1 2 1
Cartesian
0.000 0.000 0.000
0.000 0.000 2.632
0.000 1.911 2.632
1.911 0.000 2.632
1.911 1.911 0.000
```

***

> Which value of DOS at the Fermi energy does entry 2 give?

2.16 states/eV/f.u.

***

> Which of these has the highest DOS at the Fermi energy?

PIrC3

***

> Among the records above, which one has the highest DOS at the Fermi energy?

PIrC3

***

> The highest electronic total energy belongs to which entry?

PIrC2Se